Entry from Alexandria via LeMat-Bulk: a geometry-optimized PrHo3In structure (PBE).

Spin magnetization: 0.000 μB/atom
SG: Cmcm, No. 63
Energy of formation from the pure elements: -170.2 meV/atom

extended XYZ file:
```
10
Lattice="-2.0059 -3.1907 3.0996 4.1978 -0.2948 2.4132 -4.6259 7.9356 9.0162" Properties=species:S:1:pos:R:3 pbc="T T T"
Pr -1.0599 3.8707 9.6300
Pr -0.6688 1.7014 3.8090
Ho -0.9763 -1.7233 3.9256
Ho -3.8867 5.9332 9.9236
Ho -2.4121 2.0538 6.8846
Ho 2.1581 -0.3610 3.5153
Ho -2.7583 4.1048 12.6129
Ho 0.6834 3.5183 6.5544
In 0.3778 0.0884 6.6670
In -4.1125 2.2930 9.8716
```

***

Entry from Alexandria via LeMat-Bulk: a geometry-optimized CoCuNi4 structure (PBE).

Spin magnetization: 0.600 μB/atom
SG: P4/mmm, No. 123
Energy of formation from the pure elements: 11.5 meV/atom

extended XYZ file:
```
6
Lattice="2.4857 0.0000 0.0000 0.0000 2.4857 0.0000 0.0000 0.0000 10.6866" Properties=species:S:1:pos:R:3 pbc="T T T"
Co 1.2428 1.2428 5.3433
Cu 0.0000 0.0000 0.0000
Ni 1.2428 1.2428 1.8296
Ni 0.0000 0.0000 7.0945
Ni 0.0000 0.0000 3.5920
Ni 1.2428 1.2428 8.8569
```

***

Entry from Alexandria via LeMat-Bulk: a geometry-optimized AcLa7Pb4 structure (PBE).

Spin magnetization: 0.084 μB/atom
SG: C2/m, No. 12
Energy of formation from the pure elements: -227.3 meV/atom

extended XYZ file:
```
12
Lattice="6.2441 0.0000 0.0000 3.1220 9.7570 -0.0090 3.1220 0.3095 7.0321" Properties=species:S:1:pos:R:3 pbc="T T T"
Ac 0.0000 0.0000 0.0000
La 9.3661 8.8692 3.6670
La 3.1220 1.1973 3.3561
La 3.1220 6.3127 1.9476
La 9.3661 3.7539 5.0756
La 6.2441 5.9743 5.3599
La 3.1220 0.0000 0.0000
La 6.2440 4.0922 1.6632
Pb 6.2441 2.4297 4.3829
Pb 6.2440 7.6368 2.6402
Pb 9.3661 6.8425 6.3795
Pb 3.1220 3.2241 0.6436
```

***

Entry from Alexandria via LeMat-Bulk: a geometry-optimized CaOs2Se structure (PBE).

Spin magnetization: 0.000 μB/atom
SG: P4/mmm, No. 123
Formation energy (no corrections): 0.688 eV/atom

extended XYZ file:
```
4
Lattice="3.0477 0.0000 0.0000 0.0000 3.0477 0.0000 0.0000 0.0000 7.5807" Properties=species:S:1:pos:R:3 pbc="T T T"
Ca 1.5238 1.5238 5.6855
Os 0.0000 0.0000 0.4021
Os 0.0000 0.0000 3.3883
Se 1.5238 1.5238 1.8952
```

***

Entry from Alexandria via LeMat-Bulk: a geometry-optimized Tl5AgAu4 structure (PBE).

Spin magnetization: 0.000 μB/atom
SG: C2/m, No. 12
Energy of formation from the pure elements: 15.7 meV/atom

extended XYZ file:
```
10
Lattice="-0.5999 -1.5532 -4.0984 5.1087 -4.5144 0.9631 -7.5883 -3.2090 4.7143" Properties=species:S:1:pos:R:3 pbc="T T T"
Tl -0.9359 -2.2444 0.9876
Tl 0.4955 -5.0719 1.8497
Tl -3.5750 -4.2047 -0.2706
Tl 2.2544 -3.0338 -1.5676
Tl -2.1436 -7.0322 0.5915
Ag -0.2999 -0.7766 -2.0492
Au 2.1348 -6.0311 -0.4142
Au -6.5851 -5.4769 0.6521
Au -5.2143 -3.2455 1.9932
Au 3.5056 -3.7997 0.9269
```

***

Entry from Alexandria via LeMat-Bulk: a geometry-optimized Rb3Zn2PbF9 structure (PBE).

Spin magnetization: 0.000 μB/atom
SG: P-3m1, No. 164
Formation energy (no corrections): -2.526 eV/atom

extended XYZ file:
```
15
Lattice="-5.0945 -2.5517 -2.3646 2.5784 -2.3888 5.0698 -4.3763 4.6461 4.4149" Properties=species:S:1:pos:R:3 pbc="T T T"
Rb -2.9964 0.7601 5.6354
Rb 0.0000 0.0000 0.0000
Rb -3.8960 -1.0545 1.4846
Zn -0.6388 -1.7428 3.2570
Zn -6.2536 1.4484 3.8630
Pb -2.1881 2.3230 2.2074
F -6.7639 0.6996 2.0207
F -5.5624 -0.4135 4.3831
F -4.3900 1.8887 3.1226
F -2.5024 -2.1831 3.9974
F -1.3300 0.1191 2.7369
F -0.1285 -0.9940 5.0993
F -2.5473 -1.2759 -1.1823
F 1.2892 -1.1944 2.5349
F -1.2580 -2.4702 1.3526
```

***

Entry from Alexandria via LeMat-Bulk: a geometry-optimized CeHg8 structure (PBE).

Spin magnetization: 0.133 μB/atom
SG: I4/mmm, No. 139
Energy of formation from the pure elements: -139.0 meV/atom

extended XYZ file:
```
9
Lattice="-4.0704 2.0175 -0.3876 -3.6342 -3.2754 -5.7016 -4.8365 -3.7723 4.3384" Properties=species:S:1:pos:R:3 pbc="T T T"
Ce 0.0000 0.0000 0.0000
Hg -2.9791 -0.6021 1.3333
Hg -5.9279 -1.1526 2.6175
Hg -5.5420 -1.0141 -0.7139
Hg -2.5740 -0.4347 -2.0496
Hg -4.4345 -3.6061 0.9807
Hg -5.1306 -0.8231 -4.0396
Hg -6.9992 -4.0160 -1.0369
Hg -4.0363 -3.4415 -2.3440
```

***

Entry from Alexandria via LeMat-Bulk: a geometry-optimized TmPu2Sn9 structure (PBE).

Spin magnetization: 0.927 μB/atom
SG: P4/mmm, No. 123
Energy of formation from the pure elements: -363.6 meV/atom

extended XYZ file:
```
12
Lattice="-0.5943 2.6340 -3.8488 -4.4008 -1.6012 -0.4162 -4.5619 10.4813 7.8811" Properties=species:S:1:pos:R:3 pbc="T T T"
Tm -8.9626 8.8800 7.4648
Pu -2.1174 6.1290 -1.2184
Pu -7.4397 5.3852 4.8346
Sn -7.0593 10.9974 5.7484
Sn -4.0167 4.0027 0.4912
Sn -5.5404 7.5116 3.1252
Sn -1.0555 3.0546 -0.6155
Sn -2.5782 6.5579 2.0164
Sn -8.5013 8.4592 4.2314
Sn -3.5528 3.5709 -2.7477
Sn -5.0758 7.0743 -0.1161
Sn -6.0040 7.9429 6.3636
```